Record 1
Computed, not measured: an optimized crystal structure of ThSc2SnC at the PBE level of DFT.

```
ThSc2SnC
1.0
-0.988 -2.448 4.260
1.443 -3.979 -1.952
4.336 0.842 1.490
Th Sc Sn C
1 2 1 1
Direct
0.500 0.000 0.000
0.000 0.000 0.500
0.000 0.500 0.000
0.500 0.500 0.500
0.000 0.000 0.000
```

Values from the calculation:
* crystal system: tetragonal
* energy relative to the elements: -0.554 eV per atom
* M_tot: 0.000 μB/atom
* total DFT energy (no corrections): -7.216 eV per atom
* volume: 109 Å³/f.u.

Record 2
Computed, not measured: an optimized crystal structure of KB6 at the PBE level of DFT.

```
KB6
1.0
-1.557 3.886 -0.584
-3.885 -1.428 0.855
0.589 0.852 4.098
K B
1 6
Direct
0.500 0.500 0.500
0.699 0.000 0.000
0.301 0.000 0.000
0.000 0.000 0.699
0.000 0.000 0.301
0.000 0.301 0.000
0.000 0.699 0.000
```

Values from the calculation:
* crystal system: cubic
* distance to the lowest polymorph of the same formula: 0.000 eV per atom
* energy relative to the elements: -0.028 eV per atom
* M_tot: 0.000 μB/atom
* total DFT energy (no corrections): -5.908 eV per atom
* volume: 75 Å³/f.u.

Record 3
Computed, not measured: an optimized crystal structure of Zn8Cu6Ag at the PBE level of DFT.

```
Zn8Cu6Ag
1.0
1.688 -5.200 3.556
-2.123 -5.582 -2.622
4.817 -3.424 -2.760
Zn Cu Ag
8 6 1
Direct
0.206 0.556 0.879
0.121 0.794 0.444
0.444 0.121 0.794
0.668 0.668 0.668
0.332 0.332 0.332
0.556 0.879 0.206
0.879 0.206 0.556
0.794 0.444 0.121
0.049 0.393 0.702
0.298 0.951 0.607
0.607 0.298 0.951
0.393 0.702 0.049
0.702 0.049 0.393
0.951 0.607 0.298
0.000 0.000 0.000
```

Values from the calculation:
* crystal system: trigonal
* energy relative to the elements: 0.016 eV per atom
* M_tot: 0.000 μB/atom
* total DFT energy (no corrections): -2.492 eV per atom
* volume: 228 Å³/f.u.